Entry from Alexandria: crystalline MgCr2Si at its relaxed geometry (PBE).

Cell lengths 3.0583, 4.3687, 8.3105 Å; angles 90.00, 90.00, 90.00 degrees
Space group Cmm2 (No. 35)
One atom of each set of equivalent atoms:
Mg 0.0000 0.0000 0.0000 x2
Cr 0.0000 0.0000 0.5146 x2
Cr 0.0000 0.5000 0.7277 x2
Si 0.0000 0.5000 0.2883 x2

Summary:
raw formation energy = 22.9 kJ/mol of atoms



Entry from Alexandria: crystalline MgCr4Si at its relaxed geometry (PBE).

Cell lengths 6.7933, 6.7933, 6.7933 Å; angles 90.00, 90.00, 90.00 degrees
Space group F-43m (No. 216)
One atom of each set of equivalent atoms:
Mg 0.0000 0.0000 0.0000 x4
Cr 0.1254 0.1254 0.3746 x16
Si 0.2500 0.2500 0.7500 x4

Summary:
raw formation energy = 28.8 kJ/mol of atoms



Entry from Alexandria: crystalline MgCr2Si at its relaxed geometry (PBE).

Cell lengths 3.8271, 3.8271, 3.9456 Å; angles 90.00, 90.00, 90.00 degrees
Space group P4/mmm (No. 123)
One atom of each set of equivalent atoms:
Mg 0.0000 0.0000 0.0000 x1
Cr 0.0000 0.5000 0.5000 x2
Si 0.5000 0.5000 0.0000 x1

Summary:
raw formation energy = 14.4 kJ/mol of atoms



Entry from Alexandria: crystalline Mg2CrSi at its relaxed geometry (PBE).

Cell lengths 6.4429, 6.4429, 6.4429 Å; angles 90.00, 90.00, 90.00 degrees
Space group F-43m (No. 216)
One atom of each set of equivalent atoms:
Mg 0.0000 0.0000 0.0000 x4
Mg 0.2500 0.2500 0.2500 x4
Cr 0.0000 0.0000 0.5000 x4
Si 0.2500 0.2500 0.7500 x4

Summary:
raw formation energy = 19.4 kJ/mol of atoms



Entry from Alexandria: crystalline Mg2Cr4Si at its relaxed geometry (PBE).

Cell lengths 4.4690, 4.4690, 14.0064 Å; angles 90.00, 90.00, 90.00 degrees
Space group I4/mmm (No. 139)
One atom of each set of equivalent atoms:
Mg 0.0000 0.0000 0.1228 x4
Cr 0.0000 0.0000 0.3263 x4
Cr 0.0000 0.5000 0.0000 x4
Si 0.0000 0.0000 0.5000 x2

Summary:
raw formation energy = 83.3 kJ/mol of atoms



Entry from Alexandria: crystalline Mg2CrSi at its relaxed geometry (PBE).

Cell lengths 3.4532, 4.3993, 8.6357 Å; angles 90.00, 90.00, 90.00 degrees
Space group Cmm2 (No. 35)
One atom of each set of equivalent atoms:
Mg 0.0000 0.0000 0.0000 x2
Mg 0.0000 0.5000 0.3049 x2
Cr 0.0000 0.5000 0.7518 x2
Si 0.0000 0.0000 0.5641 x2

Summary:
raw formation energy = 22.0 kJ/mol of atoms



Entry from Alexandria: crystalline MgCr2Si2 at its relaxed geometry (PBE).

Cell lengths 3.4872, 3.4872, 12.1240 Å; angles 90.00, 90.00, 90.00 degrees
Space group I4/mmm (No. 139)
One atom of each set of equivalent atoms:
Mg 0.0000 0.0000 0.0000 x2
Cr 0.0000 0.0000 0.3928 x4
Si 0.0000 0.5000 0.2500 x4

Summary:
raw formation energy = 16.1 kJ/mol of atoms
energy above the lowest structure with this stoichiometry = 295 meV per atom



Entry from Alexandria: crystalline MgCr2SiTe at its relaxed geometry (PBE).

Cell lengths 4.6688, 4.6688, 5.5823 Å; angles 90.00, 90.00, 90.00 degrees
Space group P4/mmm (No. 123)
One atom of each set of equivalent atoms:
Mg 0.0000 0.0000 0.0000 x1
Cr 0.0000 0.5000 0.5000 x2
Si 0.5000 0.5000 0.5000 x1
Te 0.5000 0.5000 0.0000 x1

Summary:
raw formation energy = 66.1 kJ/mol of atoms



Entry from Alexandria: crystalline Mg2ZrCrSi at its relaxed geometry (PBE).

Cell lengths 5.3294, 5.3294, 4.9556 Å; angles 90.00, 90.00, 90.00 degrees
Space group P4/mmm (No. 123)
One atom of each set of equivalent atoms:
Mg 0.0000 0.5000 0.0000 x2
Zr 0.0000 0.0000 0.0000 x1
Cr 0.5000 0.5000 0.5000 x1
Si 0.0000 0.0000 0.5000 x1

Summary:
raw formation energy = 167.2 kJ/mol of atoms



Entry from Alexandria: crystalline SmYMgCr at its relaxed geometry (PBE).

Cell lengths 7.4303, 7.4303, 7.4303 Å; angles 90.00, 90.00, 90.00 degrees
Space group F-43m (No. 216)
One atom of each set of equivalent atoms:
Sm 0.0000 0.0000 0.0000 x4
Y 0.0000 0.0000 0.5000 x4
Mg 0.2500 0.2500 0.2500 x4
Cr 0.2500 0.2500 0.7500 x4

Summary:
VASP energy = -5.46 eV/atom



Entry from Alexandria: crystalline MgCrSn2 at its relaxed geometry (PBE).

Cell lengths 4.5663, 4.5663, 18.9309 Å; angles 90.00, 90.00, 90.00 degrees
Space group I-42d (No. 122)
One atom of each set of equivalent atoms:
Mg 0.0000 0.0000 0.0000 x4
Cr 0.0000 0.0000 0.5000 x4
Sn 0.2297 0.2500 0.6250 x8

Summary:
VASP energy = -4.52 eV/atom



Entry from Alexandria: crystalline MgCr2Sn at its relaxed geometry (PBE).

Cell lengths 7.5321, 7.5321, 5.9507 Å; angles 90.00, 90.00, 90.00 degrees
Space group I-42d (No. 122)
One atom of each set of equivalent atoms:
Mg 0.0000 0.0000 0.0000 x4
Cr 0.2396 0.2500 0.6250 x8
Sn 0.0000 0.0000 0.5000 x4

Summary:
VASP energy = -5.45 eV/atom



Entry from Alexandria: crystalline Mg2CrSn at its relaxed geometry (PBE).

Cell lengths 7.7674, 7.7674, 5.4167 Å; angles 90.00, 90.00, 90.00 degrees
Space group I-42d (No. 122)
One atom of each set of equivalent atoms:
Mg 0.2236 0.7500 0.1250 x8
Cr 0.0000 0.0000 0.0000 x4
Sn 0.0000 0.0000 0.5000 x4

Summary:
VASP energy = -3.53 eV/atom



Entry from Alexandria: crystalline MgCr2Sn2 at its relaxed geometry (PBE).

Cell lengths 7.6502, 7.6502, 3.1297 Å; angles 90.00, 90.00, 90.00 degrees
Space group P4/mbm (No. 127)
One atom of each set of equivalent atoms:
Mg 0.0000 0.0000 0.0000 x2
Cr 0.0987 0.4013 0.0000 x4
Sn 0.1865 0.6865 0.5000 x4

Summary:
VASP energy = -5.44 eV/atom



Entry from Alexandria: crystalline MgTaCrSn2 at its relaxed geometry (PBE).

Cell lengths 5.0235, 5.0235, 4.6639 Å; angles 90.00, 90.00, 90.00 degrees
Space group P4/mmm (No. 123)
One atom of each set of equivalent atoms:
Mg 0.0000 0.0000 0.0000 x1
Ta 0.5000 0.5000 0.0000 x1
Cr 0.5000 0.5000 0.5000 x1
Sn 0.0000 0.5000 0.5000 x2

Summary:
VASP energy = -5.56 eV/atom



Entry from Alexandria: crystalline MgZnCrSn at its relaxed geometry (PBE).

Cell lengths 3.1091, 3.1403, 15.6500 Å; angles 90.00, 90.00, 90.00 degrees
Space group Amm2 (No. 38)
One atom of each set of equivalent atoms:
Mg 0.0000 0.0000 0.0000 x2
Zn 0.5000 0.0000 0.6162 x2
Cr 0.0000 0.0000 0.2130 x2
Sn 0.5000 0.0000 0.8299 x2

Summary:
energy above the lowest structure with this stoichiometry = 53 meV per atom



Entry from Alexandria: crystalline MgZnCrSn at its relaxed geometry (PBE).

Cell lengths 3.0355, 4.2722, 12.9216 Å; angles 90.00, 90.00, 90.00 degrees
Space group Imm2 (No. 44)
One atom of each set of equivalent atoms:
Mg 0.0000 0.0000 0.0000 x2
Zn 0.0000 0.5000 0.1651 x2
Cr 0.0000 0.5000 0.6906 x2
Sn 0.0000 0.0000 0.3721 x2

Summary:
energy above the lowest structure with this stoichiometry = 132 meV per atom



Entry from Alexandria: crystalline MgZnCrSn at its relaxed geometry (PBE).

Cell lengths 3.3730, 3.3730, 6.5623 Å; angles 90.00, 90.00, 90.00 degrees
Space group P4mm (No. 99)
One atom of each set of equivalent atoms:
Mg 0.0000 0.0000 0.0000 x1
Zn 0.5000 0.5000 0.7587 x1
Cr 0.0000 0.0000 0.5560 x1
Sn 0.5000 0.5000 0.3039 x1

Summary:
energy above the lowest structure with this stoichiometry = 47 meV per atom



Entry from Alexandria: crystalline MgZnCrSn at its relaxed geometry (PBE).

Cell lengths 3.5963, 3.5963, 5.8604 Å; angles 90.00, 90.00, 90.00 degrees
Space group P4mm (No. 99)
One atom of each set of equivalent atoms:
Mg 0.0000 0.0000 0.0000 x1
Zn 0.5000 0.5000 0.2230 x1
Cr 0.5000 0.5000 0.7351 x1
Sn 0.0000 0.0000 0.5069 x1

Summary:
energy above the lowest structure with this stoichiometry = 90 meV per atom



Entry from Alexandria: crystalline MgZnCrSn at its relaxed geometry (PBE).

Cell lengths 9.2217, 3.2507, 5.1979 Å; angles 90.00, 102.16, 90.00 degrees
Space group Cm (No. 8)
One atom of each set of equivalent atoms:
Mg 0.0000 0.0000 0.0000 x2
Zn 0.2513 0.5000 0.2302 x2
Cr 0.4884 0.0000 0.4633 x2
Sn 0.2351 0.0000 0.6909 x2

Summary:
energy above the lowest structure with this stoichiometry = 71 meV per atom



Entry from Alexandria: crystalline MgZnCrSn at its relaxed geometry (PBE).

Cell lengths 3.1871, 4.5596, 5.1436 Å; angles 90.00, 90.00, 90.00 degrees
Space group Pmm2 (No. 25)
One atom of each set of equivalent atoms:
Mg 0.0000 0.0000 0.0000 x1
Zn 0.5000 0.5000 0.1095 x1
Cr 0.0000 0.5000 0.6464 x1
Sn 0.5000 0.0000 0.4949 x1

Summary:
energy above the lowest structure with this stoichiometry = 68 meV per atom



Entry from Alexandria: crystalline MgZnCrSn at its relaxed geometry (PBE).

Cell lengths 3.3421, 4.5969, 5.2630 Å; angles 90.00, 103.42, 90.00 degrees
Space group Pm (No. 6)
One atom of each set of equivalent atoms:
Mg 0.0000 0.0000 0.0000 x1
Zn 0.3132 0.0000 0.5513 x1
Cr 0.4435 0.5000 0.8038 x1
Sn 0.7805 0.5000 0.3446 x1

Summary:
energy above the lowest structure with this stoichiometry = 101 meV per atom



Entry from Alexandria: crystalline MgZnCrSn at its relaxed geometry (PBE).

Cell lengths 4.2066, 4.2066, 8.1462 Å; angles 90.00, 90.00, 90.00 degrees
Space group I-4m2 (No. 119)
One atom of each set of equivalent atoms:
Mg 0.0000 0.0000 0.0000 x2
Zn 0.0000 0.5000 0.7500 x2
Cr 0.0000 0.0000 0.5000 x2
Sn 0.0000 0.5000 0.2500 x2

Summary:
energy above the lowest structure with this stoichiometry = 7 meV per atom



Entry from Alexandria: crystalline MgZnCrSn at its relaxed geometry (PBE).

Cell lengths 4.0845, 4.1194, 4.2995 Å; angles 90.00, 90.00, 90.00 degrees
Space group Pmmm (No. 47)
One atom of each set of equivalent atoms:
Mg 0.0000 0.0000 0.0000 x1
Zn 0.5000 0.5000 0.0000 x1
Cr 0.5000 0.0000 0.5000 x1
Sn 0.0000 0.5000 0.5000 x1

Summary:
energy above the lowest structure with this stoichiometry = 0 meV per atom



Entry from Alexandria: crystalline MgZnCrSn at its relaxed geometry (PBE).

Cell lengths 4.6484, 3.3082, 5.0341 Å; angles 90.00, 103.73, 90.00 degrees
Space group P2/m (No. 10)
One atom of each set of equivalent atoms:
Mg 0.0000 0.0000 0.0000 x1
Zn 0.5000 0.5000 0.0000 x1
Cr 0.0000 0.5000 0.5000 x1
Sn 0.5000 0.0000 0.5000 x1

Summary:
energy above the lowest structure with this stoichiometry = 75 meV per atom



Entry from Alexandria: crystalline MgZnCrSn at its relaxed geometry (PBE).

Cell lengths 10.3346, 3.1973, 5.0392 Å; angles 90.00, 114.86, 90.00 degrees
Space group Cm (No. 8)
One atom of each set of equivalent atoms:
Mg 0.0000 0.0000 0.0000 x2
Zn 0.2499 0.0000 0.9105 x2
Cr 0.2522 0.5000 0.4144 x2
Sn 0.4964 0.0000 0.4916 x2

Summary:
energy above the lowest structure with this stoichiometry = 112 meV per atom



Entry from Alexandria: crystalline MgZnCrSn at its relaxed geometry (PBE).

Cell lengths 6.6751, 6.6751, 6.6751 Å; angles 90.00, 90.00, 90.00 degrees
Space group F-43m (No. 216)
One atom of each set of equivalent atoms:
Mg 0.0000 0.0000 0.0000 x4
Zn 0.2500 0.2500 0.7500 x4
Cr 0.0000 0.0000 0.5000 x4
Sn 0.2500 0.2500 0.2500 x4

Summary:
energy above the lowest structure with this stoichiometry = 48 meV per atom



Entry from Alexandria: crystalline MgZnCrSn at its relaxed geometry (PBE).

Cell lengths 3.3429, 4.7041, 4.9165 Å; angles 90.00, 90.00, 90.00 degrees
Space group Pmm2 (No. 25)
One atom of each set of equivalent atoms:
Mg 0.0000 0.0000 0.0000 x1
Zn 0.0000 0.5000 0.6745 x1
Cr 0.5000 0.5000 0.1518 x1
Sn 0.5000 0.0000 0.4980 x1

Summary:
energy above the lowest structure with this stoichiometry = 139 meV per atom



| no. | calculated density (g cm⁻³) |
| --- | --- |
| 1 | 4.68 |
| 2 | 5.52 |
| 3 | 4.49 |
| 4 | 3.20 |
| 5 | 3.38 |
| 6 | 3.26 |
| 7 | 4.16 |
| 8 | 3.88 |
| 9 | 2.59 |
| 10 | 5.11 |
| 11 | 5.28 |
| 12 | 4.86 |
| 13 | 4.46 |
| 14 | 6.63 |
| 15 | 6.98 |
| 16 | 5.66 |
| 17 | 5.16 |
| 18 | 5.79 |
| 19 | 5.71 |
| 20 | 5.68 |
| 21 | 5.79 |
| 22 | 5.50 |
| 23 | 6.00 |
| 24 | 5.98 |
| 25 | 5.75 |
| 26 | 5.72 |
| 27 | 5.82 |
| 28 | 5.59 |